Entry 1:
DFT (PBE+U) results for a relaxed structure of La4Al3NiO12.

extended XYZ file:
```
20
Lattice="-3.8277 3.8277 3.8277 3.8277 -3.8277 3.8277 3.8277 3.8277 -3.8277" Properties=species:S:1:pos:R:3 pbc="T T T"
La 1.9138 1.9138 -1.9138
La 1.9138 -1.9138 1.9138
La -1.9138 1.9138 1.9138
La 1.9138 1.9138 1.9138
Al 3.8277 0.0000 0.0000
Al 0.0000 3.8277 0.0000
Al 0.0000 0.0000 3.8277
Ni 0.0000 0.0000 0.0000
O 1.9592 0.0000 0.0000
O 5.6961 0.0000 0.0000
O 3.8277 1.9138 0.0000
O 3.8277 0.0000 1.9138
O 0.0000 1.9592 0.0000
O 0.0000 0.0000 1.9592
O 1.9138 3.8277 0.0000
O 1.9138 0.0000 3.8277
O 0.0000 5.6961 0.0000
O 0.0000 0.0000 5.6961
O 0.0000 3.8277 1.9138
O 0.0000 1.9138 3.8277
```

## Properties
raw total energy: -7.625 eV per atom
space-group type: Im-3m, No. 229

***

Entry 2:
DFT (PBE+U) results for a relaxed structure of La2AlNiO6.

extended XYZ file:
```
20
Lattice="5.4321 0.0000 0.0000 0.0000 5.3803 0.0000 -5.2680 0.0000 7.8861" Properties=species:S:1:pos:R:3 pbc="T T T"
La 0.0117 0.0570 1.9532
La -2.6223 2.6331 5.8962
La 2.7863 2.7472 1.9899
La 0.1524 5.3233 5.9329
Al 2.7160 0.0000 0.0000
Al 0.0820 2.6901 3.9431
Ni -2.6340 0.0000 3.9431
Ni 0.0000 2.6901 0.0000
O -3.9836 1.2766 7.5983
O -1.3496 1.4135 3.6553
O -3.8535 3.9732 7.5926
O -1.2195 4.0973 3.6495
O -2.2440 0.0150 6.0325
O 0.3900 2.6752 2.0895
O -0.2259 2.7051 5.7966
O 2.4081 5.3653 1.8536
O 1.3836 1.2830 4.2366
O 4.0176 1.4071 0.2936
O 1.5137 3.9667 4.2309
O 4.1476 4.1037 0.2878
```

## Properties
raw total energy: -7.287 eV per atom
space-group type: P2_1/c, No. 14

***

Which formula does entry 2 have?
La2AlNiO6